(1)
Material: NaCeTm2Te4
Method: DFT, GGA-PBE
State: relaxed

Structure (extended XYZ):
```
8
Lattice="-0.636 -1.414 4.068 0.948 -7.203 -2.355 6.857 2.860 2.067" Properties=species:S:1:pos:R:3 pbc="T T T"
Na 0.000 0.000 0.000
Ce 0.156 -4.308 0.856
Tm 3.111 0.723 3.067
Tm 3.903 -2.171 -0.144
Te 1.730 -1.770 1.985
Te 5.439 -3.986 1.794
Te 5.280 0.364 0.952
Te 2.525 -4.707 -1.241
```

Summary:
magnetic moment = 1.32 μB/cell
space-group type = No. 10
ΔE_f (raw) = -1.276 eV/atom


(2)
Material: Na3Ce2TmTe6
Method: DFT, GGA-PBE
State: relaxed

Structure (extended XYZ):
```
12
Lattice="7.826 -0.002 -0.001 -3.913 6.778 -0.001 -1.306 -2.262 7.522" Properties=species:S:1:pos:R:3 pbc="T T T"
Na -2.586 4.503 3.760
Na 5.193 0.011 3.760
Na 1.304 2.257 3.760
Ce 0.003 4.516 -0.001
Ce 3.910 2.259 -0.001
Tm 0.000 0.000 0.000
Te 3.870 2.329 5.745
Te 2.652 4.592 1.771
Te -1.263 2.186 1.776
Te 0.083 4.516 5.745
Te -0.045 -0.078 5.750
Te 2.524 -0.002 1.776
```

Summary:
magnetic moment = 2.01 μB/cell
space-group type = No. 12
ΔE_f (raw) = -1.266 eV/atom


(3)
Material: Na3Ce3TmTe8
Method: DFT, GGA-PBE
State: relaxed

Structure (extended XYZ):
```
15
Lattice="8.929 0.000 0.000 -4.464 7.257 2.589 0.000 -2.592 7.341" Properties=species:S:1:pos:R:3 pbc="T T T"
Na 0.000 0.000 0.000
Na -2.232 3.628 1.295
Na 2.232 3.628 1.295
Ce 4.464 -1.296 3.671
Ce 2.232 2.333 4.965
Ce -2.232 2.333 4.965
Tm 0.000 -1.296 3.671
Te 0.000 0.467 6.237
Te 4.464 4.198 3.693
Te 4.464 0.523 6.253
Te 0.000 4.142 3.677
Te 6.757 0.483 2.427
Te -2.292 4.182 7.503
Te 2.172 0.483 2.427
Te 2.292 4.182 7.503
```

Summary:
magnetic moment = 2.01 μB/cell
space-group type = No. 12
ΔE_f (raw) = -1.242 eV/atom


(4)
Material: Na2CeUTe4
Method: DFT, GGA-PBE
State: relaxed

Structure (extended XYZ):
```
8
Lattice="4.491 0.000 0.000 0.000 7.791 0.136 0.000 -2.723 7.528" Properties=species:S:1:pos:R:3 pbc="T T T"
Na 2.246 -1.361 3.764
Na 0.000 2.534 3.832
Ce 2.246 3.895 0.068
U 0.000 0.000 0.000
Te 2.246 1.233 1.815
Te 2.246 3.834 5.849
Te 0.000 -0.131 5.759
Te 0.000 5.199 1.905
```

Summary:
magnetic moment = 4.00 μB/cell
space-group type = No. 10
ΔE_f (raw) = -1.010 eV/atom


(5)
Material: Na3Ce2YTe6
Method: DFT, GGA-PBE
State: relaxed

Structure (extended XYZ):
```
12
Lattice="7.849 -0.001 0.000 -3.924 6.798 0.000 -1.310 -2.267 7.522" Properties=species:S:1:pos:R:3 pbc="T T T"
Na -2.602 4.523 3.761
Na 5.218 0.006 3.761
Na 1.308 2.265 3.761
Ce 0.003 4.530 0.000
Ce 3.923 2.266 0.000
Y 0.000 0.000 0.000
Te 3.895 2.315 5.737
Te 2.647 4.584 1.783
Te -1.279 2.214 1.785
Te 0.059 4.531 5.737
Te -0.031 -0.054 5.739
Te 2.557 -0.002 1.785
```

Summary:
magnetic moment = 2.01 μB/cell
space-group type = No. 12
ΔE_f (raw) = -1.280 eV/atom


(6)
Material: NaCe2Y3Te6
Method: DFT, GGA-PBE
State: relaxed

Structure (extended XYZ):
```
12
Lattice="-2.903 2.261 -2.392 -2.777 -7.613 -3.827 -4.245 -0.196 8.995" Properties=species:S:1:pos:R:3 pbc="T T T"
Na -1.452 1.131 -1.196
Ce -7.061 -3.292 1.432
Ce -2.865 -2.256 1.345
Y -2.840 -2.676 -3.109
Y -5.728 0.442 3.344
Y -4.198 -5.989 -0.567
Te -6.358 -6.420 1.648
Te -4.943 -3.040 -0.901
Te -3.568 0.873 1.130
Te -7.836 0.133 5.611
Te -2.090 -5.681 -2.834
Te -4.982 -2.508 3.678
```

Summary:
magnetic moment = 2.48 μB/cell
space-group type = No. 12
ΔE_f (raw) = -1.342 eV/atom


- Look up the ΔE_f (raw) of the third one.
  -1.242 eV/atom


- What is the formula in the first record?
  NaCeTm2Te4